(1)
## NiRu2I2 (PBE-GGA)

Data for a relaxed NiRu2I2 crystal. Values from VASP.

Summary:
Crystal system: tetragonal
Total DFT energy (no corrections): -4.499 eV per atom
Space-group type: I4/mmm (139)
Distance to the lowest polymorph of the same formula: 72.5 meV per atom

Cell and atoms, written as Quantum ESPRESSO input:
```
&SYSTEM
  ibrav = 0, nat = 5, ntyp = 3
/
ATOMIC_SPECIES
Ni 58.69 Ni.upf
Ru 101.07 Ru.upf
I 126.90 I.upf
CELL_PARAMETERS angstrom
-2.667 2.667 3.669
2.667 -2.667 3.669
2.667 2.667 -3.669
ATOMIC_POSITIONS crystal
Ni 0.000 0.000 0.000
Ru 0.338 0.338 0.000
Ru 0.662 0.662 0.000
I 0.250 0.750 0.500
I 0.750 0.250 0.500
```

(2)
## NiRu3I (PBE-GGA)

Data for a relaxed NiRu3I crystal. Values from VASP.

Summary:
Crystal system: cubic
Total DFT energy (no corrections): -5.482 eV per atom
Space-group type: Pm-3m (221)
Distance to the lowest polymorph of the same formula: 0.0 meV per atom

Cell and atoms, written as Quantum ESPRESSO input:
```
&SYSTEM
  ibrav = 0, nat = 5, ntyp = 3
/
ATOMIC_SPECIES
Ni 58.69 Ni.upf
Ru 101.07 Ru.upf
I 126.90 I.upf
CELL_PARAMETERS angstrom
4.594 0.000 0.000
0.000 4.594 0.000
0.000 0.000 4.594
ATOMIC_POSITIONS crystal
Ni 0.000 0.000 0.000
Ru 0.000 0.000 0.500
Ru 0.000 0.500 0.000
Ru 0.500 0.000 0.000
I 0.500 0.500 0.500
```

(3)
## NiRu2I (PBE-GGA)

Data for a relaxed NiRu2I crystal. Values from VASP.

Summary:
Crystal system: cubic
Total DFT energy (no corrections): -5.691 eV per atom
Space-group type: Fm-3m (225)
Distance to the lowest polymorph of the same formula: 0.0 meV per atom

Cell and atoms, written as Quantum ESPRESSO input:
```
&SYSTEM
  ibrav = 0, nat = 4, ntyp = 3
/
ATOMIC_SPECIES
Ni 58.69 Ni.upf
Ru 101.07 Ru.upf
I 126.90 I.upf
CELL_PARAMETERS angstrom
0.000 3.115 3.115
3.115 0.000 3.115
3.115 3.115 0.000
ATOMIC_POSITIONS crystal
Ni 0.000 0.000 0.000
Ru 0.250 0.250 0.250
Ru 0.750 0.750 0.750
I 0.500 0.500 0.500
```

(4)
## NiRuI2 (PBE-GGA)

Data for a relaxed NiRuI2 crystal. Values from VASP.

Summary:
Crystal system: tetragonal
Total DFT energy (no corrections): -3.995 eV per atom
Space-group type: I-42d (122)
Distance to the lowest polymorph of the same formula: 0.0 meV per atom

Cell and atoms, written as Quantum ESPRESSO input:
```
&SYSTEM
  ibrav = 0, nat = 8, ntyp = 3
/
ATOMIC_SPECIES
Ni 58.69 Ni.upf
Ru 101.07 Ru.upf
I 126.90 I.upf
CELL_PARAMETERS angstrom
-2.966 2.966 5.779
2.966 -2.966 5.779
2.966 2.966 -5.779
ATOMIC_POSITIONS crystal
Ni 0.000 0.000 0.000
Ni 0.750 0.250 0.500
Ru 0.250 0.750 0.500
Ru 0.500 0.500 0.000
I 0.113 0.625 0.988
I 0.375 0.363 0.488
I 0.637 0.125 0.012
I 0.875 0.887 0.512
```

(5)
## NiRuI2 (PBE-GGA)

Data for a relaxed NiRuI2 crystal. Values from VASP.

Summary:
Crystal system: cubic
Total DFT energy (no corrections): -3.659 eV per atom
Space-group type: Fm-3m (225)
Distance to the lowest polymorph of the same formula: 336.0 meV per atom

Cell and atoms, written as Quantum ESPRESSO input:
```
&SYSTEM
  ibrav = 0, nat = 4, ntyp = 3
/
ATOMIC_SPECIES
Ni 58.69 Ni.upf
Ru 101.07 Ru.upf
I 126.90 I.upf
CELL_PARAMETERS angstrom
0.000 3.381 3.381
3.381 0.000 3.381
3.381 3.381 0.000
ATOMIC_POSITIONS crystal
Ni 0.000 0.000 0.000
Ru 0.500 0.500 0.500
I 0.250 0.250 0.250
I 0.750 0.750 0.750
```

(6)
## NiRu2I (PBE-GGA)

Data for a relaxed NiRu2I crystal. Values from VASP.

Summary:
Crystal system: tetragonal
Total DFT energy (no corrections): -5.608 eV per atom
Space-group type: I-42d (122)
Distance to the lowest polymorph of the same formula: 83.4 meV per atom

Cell and atoms, written as Quantum ESPRESSO input:
```
&SYSTEM
  ibrav = 0, nat = 8, ntyp = 3
/
ATOMIC_SPECIES
Ni 58.69 Ni.upf
Ru 101.07 Ru.upf
I 126.90 I.upf
CELL_PARAMETERS angstrom
-1.918 1.918 9.177
1.918 -1.918 9.177
1.918 1.918 -9.177
ATOMIC_POSITIONS crystal
Ni 0.000 0.000 0.000
Ni 0.750 0.250 0.500
Ru 0.075 0.625 0.950
Ru 0.375 0.325 0.450
Ru 0.675 0.125 0.050
Ru 0.875 0.925 0.550
I 0.250 0.750 0.500
I 0.500 0.500 0.000
```

(7)
## NiRu2I2 (PBE-GGA)

Data for a relaxed NiRu2I2 crystal. Values from VASP.

Summary:
Crystal system: tetragonal
Total DFT energy (no corrections): -4.571 eV per atom
Space-group type: P4/mbm (127)
Distance to the lowest polymorph of the same formula: 0.0 meV per atom

Cell and atoms, written as Quantum ESPRESSO input:
```
&SYSTEM
  ibrav = 0, nat = 10, ntyp = 3
/
ATOMIC_SPECIES
Ni 58.69 Ni.upf
Ru 101.07 Ru.upf
I 126.90 I.upf
CELL_PARAMETERS angstrom
6.792 0.000 0.000
0.000 6.792 0.000
0.000 0.000 4.118
ATOMIC_POSITIONS crystal
Ni 0.000 0.000 0.000
Ni 0.500 0.500 0.000
Ru 0.135 0.365 0.000
Ru 0.365 0.865 0.000
Ru 0.635 0.135 0.000
Ru 0.865 0.635 0.000
I 0.176 0.676 0.500
I 0.324 0.176 0.500
I 0.676 0.824 0.500
I 0.824 0.324 0.500
```

(8)
## Ni3RuI (PBE-GGA)

Data for a relaxed Ni3RuI crystal. Values from VASP.

Summary:
Crystal system: cubic
Total DFT energy (no corrections): -4.377 eV per atom
Space-group type: Pm-3m (221)
Distance to the lowest polymorph of the same formula: 0.0 meV per atom

Cell and atoms, written as Quantum ESPRESSO input:
```
&SYSTEM
  ibrav = 0, nat = 5, ntyp = 3
/
ATOMIC_SPECIES
Ni 58.69 Ni.upf
Ru 101.07 Ru.upf
I 126.90 I.upf
CELL_PARAMETERS angstrom
4.563 0.000 0.000
0.000 4.563 0.000
0.000 0.000 4.563
ATOMIC_POSITIONS crystal
Ni 0.000 0.000 0.500
Ni 0.000 0.500 0.000
Ni 0.500 0.000 0.000
Ru 0.000 0.000 0.000
I 0.500 0.500 0.500
```

(9)
## NiRuSe2I (PBE-GGA)

Data for a relaxed NiRuSe2I crystal. Values from VASP.

Summary:
Crystal system: tetragonal
Total DFT energy (no corrections): -3.790 eV per atom
Space-group type: P4/mmm (123)

Cell and atoms, written as Quantum ESPRESSO input:
```
&SYSTEM
  ibrav = 0, nat = 5, ntyp = 4
/
ATOMIC_SPECIES
Ni 58.69 Ni.upf
Ru 101.07 Ru.upf
Se 78.96 Se.upf
I 126.90 I.upf
CELL_PARAMETERS angstrom
4.628 0.000 0.000
0.000 4.628 0.000
0.000 0.000 5.354
ATOMIC_POSITIONS crystal
Ni 0.000 0.000 0.000
Ru 0.500 0.500 0.500
Se 0.000 0.500 0.000
Se 0.500 0.000 0.000
I 0.000 0.000 0.500
```

(10)
## Sm8Ni3RuI4 (PBE-GGA)

Data for a relaxed Sm8Ni3RuI4 crystal. Values from VASP.

Summary:
Crystal system: trigonal
Total DFT energy (no corrections): -5.097 eV per atom
Space-group type: R-3m (166)

Cell and atoms, written as Quantum ESPRESSO input:
```
&SYSTEM
  ibrav = 0, nat = 16, ntyp = 4
/
ATOMIC_SPECIES
Sm 150.36 Sm.upf
Ni 58.69 Ni.upf
Ru 101.07 Ru.upf
I 126.90 I.upf
CELL_PARAMETERS angstrom
4.090 2.361 8.027
-4.090 2.361 8.027
0.000 -4.722 8.027
ATOMIC_POSITIONS crystal
Sm 0.227 0.227 0.227
Sm 0.229 0.727 0.727
Sm 0.273 0.273 0.771
Sm 0.273 0.771 0.273
Sm 0.727 0.229 0.727
Sm 0.727 0.727 0.229
Sm 0.771 0.273 0.273
Sm 0.773 0.773 0.773
Ni 0.000 0.000 0.500
Ni 0.000 0.500 0.000
Ni 0.500 0.000 0.000
Ru 0.500 0.500 0.500
I 0.000 0.000 0.000
I 0.000 0.500 0.500
I 0.500 0.000 0.500
I 0.500 0.500 0.000
```

(11)
## SrNiRuI2 (PBE-GGA)

Data for a relaxed SrNiRuI2 crystal. Values from VASP.

Summary:
Crystal system: tetragonal
Total DFT energy (no corrections): -3.326 eV per atom
Space-group type: P4/mmm (123)

Cell and atoms, written as Quantum ESPRESSO input:
```
&SYSTEM
  ibrav = 0, nat = 5, ntyp = 4
/
ATOMIC_SPECIES
Sr 87.62 Sr.upf
Ni 58.69 Ni.upf
Ru 101.07 Ru.upf
I 126.90 I.upf
CELL_PARAMETERS angstrom
5.201 0.000 0.000
0.000 5.201 0.000
0.000 0.000 5.303
ATOMIC_POSITIONS crystal
Sr 0.000 0.000 0.000
Ni 0.000 0.000 0.500
Ru 0.500 0.500 0.000
I 0.000 0.500 0.500
I 0.500 0.000 0.500
```

(12)
## NiTeRuI2 (PBE-GGA)

Data for a relaxed NiTeRuI2 crystal. Values from VASP.

Summary:
Crystal system: tetragonal
Total DFT energy (no corrections): -3.339 eV per atom
Space-group type: P4/mmm (123)
Distance to the lowest polymorph of the same formula: 0.0 meV per atom

Cell and atoms, written as Quantum ESPRESSO input:
```
&SYSTEM
  ibrav = 0, nat = 5, ntyp = 4
/
ATOMIC_SPECIES
Ni 58.69 Ni.upf
Te 127.60 Te.upf
Ru 101.07 Ru.upf
I 126.90 I.upf
CELL_PARAMETERS angstrom
5.568 0.000 0.000
0.000 5.568 0.000
0.000 0.000 4.956
ATOMIC_POSITIONS crystal
Ni 0.000 0.000 0.000
Te 0.500 0.500 0.000
Ru 0.500 0.500 0.500
I 0.000 0.500 0.500
I 0.500 0.000 0.500
```